Run i
Density functional theory data (GGA-PBE) for a relaxed structure of PtS2F.

Cell: 2.962 3.401 7.747 Å, 90.45 100.92 90.00°
Space group P1 (No. 1)
Asymmetric unit:
1 Pt 0.000 0.000 0.000 (multiplicity 1)
2 S 0.099 0.504 0.200 (multiplicity 1)
3 S 0.223 0.510 0.449 (multiplicity 1)
4 F 0.871 0.004 0.739 (multiplicity 1)

Output
**Theoretical density**: 6.03 g cm⁻³

***

Run ii
Density functional theory data (GGA-PBE) for a relaxed structure of PtS2F.

Cell: 2.7555 2.7555 25.9676 Å, 90.00 90.00 120.00°
Space group R-3m (No. 166, hexagonal axes)
Asymmetric unit:
1 Pt 0.0000 0.0000 0.0000 (multiplicity 3)
2 S 0.0000 0.0000 0.0901 (multiplicity 6)
3 F 0.0000 0.0000 0.5000 (multiplicity 3)

Output
**Theoretical density**: 8.12 g cm⁻³

***

Run iii
Density functional theory data (GGA-PBE) for a relaxed structure of PtS2F.

Cell: 6.224 6.224 7.832 Å, 90.00 90.00 90.00°
Space group I-42d (No. 122)
Asymmetric unit:
1 Pt 0.000 0.000 0.000 (multiplicity 4)
2 S 0.211 0.250 0.125 (multiplicity 8)
3 F 0.000 0.000 0.500 (multiplicity 4)

Output
**Theoretical density**: 6.09 g cm⁻³

***

Stability verdict: run i, ahead by 0.122 eV/atom

***

Run i
Density functional theory data (GGA-PBE) for a relaxed structure of PtSF2.

Cell: 2.7121 2.7121 29.3784 Å, 90.00 90.00 120.00°
Space group R-3m (No. 166, hexagonal axes)
Asymmetric unit:
1 Pt 0.0000 0.0000 0.0000 (multiplicity 3)
2 S 0.0000 0.0000 0.5000 (multiplicity 3)
3 F 0.0000 0.0000 0.0654 (multiplicity 6)

Output
**Theoretical density**: 7.06 g cm⁻³

***

Run ii
Density functional theory data (GGA-PBE) for a relaxed structure of PtSF2.

Cell: 3.555 3.555 16.191 Å, 90.00 90.00 90.00°
Space group I-42d (No. 122)
Asymmetric unit:
1 Pt 0.000 0.000 0.000 (multiplicity 4)
2 S 0.000 0.000 0.500 (multiplicity 4)
3 F 0.243 0.250 0.125 (multiplicity 8)

Output
**Theoretical density**: 8.61 g cm⁻³

***

Run iii
Density functional theory data (GGA-PBE) for a relaxed structure of PtSF2.

Cell: 2.6827 2.6827 30.3552 Å, 90.00 90.00 120.00°
Space group R-3m (No. 166, hexagonal axes)
Asymmetric unit:
1 Pt 0.0000 0.0000 0.0000 (multiplicity 3)
2 S 0.0000 0.0000 0.5000 (multiplicity 3)
3 F 0.0000 0.0000 0.4442 (multiplicity 6)

Output
**Theoretical density**: 6.98 g cm⁻³

***

Stability verdict: run iii, ahead by 0.087 eV/atom

***

Run i
Density functional theory data (GGA-PBE) for a relaxed structure of Pt2SF.

Cell: 6.030 6.030 6.030 Å, 90.00 90.00 90.00°
Space group Fm-3m (No. 225)
Asymmetric unit:
1 Pt 0.250 0.250 0.250 (multiplicity 8)
2 S 0.000 0.000 0.000 (multiplicity 4)
3 F 0.000 0.000 0.500 (multiplicity 4)

Output
**Theoretical density**: 13.37 g cm⁻³

***

Run ii
Density functional theory data (GGA-PBE) for a relaxed structure of Pt2SF.

Cell: 6.022 6.022 7.661 Å, 90.00 90.00 90.00°
Space group I-42d (No. 122)
Asymmetric unit:
1 Pt 0.221 0.250 0.125 (multiplicity 8)
2 S 0.000 0.000 0.000 (multiplicity 4)
3 F 0.000 0.000 0.500 (multiplicity 4)

Output
**Theoretical density**: 10.55 g cm⁻³

***

Stability verdict: run ii, ahead by 0.160 eV/atom

***

Run i
Density functional theory data (GGA-PBE) for a relaxed structure of Sb2PtF.

Cell: 6.582 6.582 6.582 Å, 90.00 90.00 90.00°
Space group Fm-3m (No. 225)
Asymmetric unit:
1 Sb 0.250 0.250 0.250 (multiplicity 8)
2 Pt 0.000 0.000 0.000 (multiplicity 4)
3 F 0.000 0.000 0.500 (multiplicity 4)

Output
**Theoretical density**: 10.66 g cm⁻³

***

Run ii
Density functional theory data (GGA-PBE) for a relaxed structure of Sb2PtF.

Cell: 4.941 4.941 14.953 Å, 90.00 90.00 90.00°
Space group I-42d (No. 122)
Asymmetric unit:
1 Sb 0.220 0.250 0.125 (multiplicity 8)
2 Pt 0.000 0.000 0.500 (multiplicity 4)
3 F 0.000 0.000 0.000 (multiplicity 4)

Output
**Theoretical density**: 8.33 g cm⁻³

***

Stability verdict: run i, ahead by 0.248 eV/atom

***

Run i
Density functional theory data (GGA-PBE) for a relaxed structure of Sb3PtF.

Cell: 4.814 4.814 4.814 Å, 90.00 90.00 90.00°
Space group Pm-3m (No. 221)
Asymmetric unit:
1 Sb 0.000 0.000 0.500 (multiplicity 3)
2 Pt 0.500 0.500 0.500 (multiplicity 1)
3 F 0.000 0.000 0.000 (multiplicity 1)

Output
**Theoretical density**: 8.62 g cm⁻³

***

Run ii
Density functional theory data (GGA-PBE) for a relaxed structure of Sb3PtF.

Cell: 5.279 5.279 5.279 Å, 90.00 90.00 90.00°
Space group Pm-3m (No. 221)
Asymmetric unit:
1 Sb 0.000 0.000 0.500 (multiplicity 3)
2 Pt 0.000 0.000 0.000 (multiplicity 1)
3 F 0.500 0.500 0.500 (multiplicity 1)

Output
**Theoretical density**: 6.54 g cm⁻³

***

Stability verdict: run i, ahead by 0.065 eV/atom

***

Run i
Density functional theory data (GGA-PBE) for a relaxed structure of SbPtF2.

Cell: 2.9977 2.9977 26.6592 Å, 90.00 90.00 120.00°
Space group R-3m (No. 166, hexagonal axes)
Asymmetric unit:
1 Sb 0.0000 0.0000 0.0000 (multiplicity 3)
2 Pt 0.0000 0.0000 0.5000 (multiplicity 3)
3 F 0.0000 0.0000 0.0768 (multiplicity 6)

Output
**Theoretical density**: 8.52 g cm⁻³

***

Run ii
Density functional theory data (GGA-PBE) for a relaxed structure of SbPtF2.

Cell: 3.0256 3.0256 24.4677 Å, 90.00 90.00 120.00°
Space group R-3m (No. 166, hexagonal axes)
Asymmetric unit:
1 Sb 0.0000 0.0000 0.0000 (multiplicity 3)
2 Pt 0.0000 0.0000 0.5000 (multiplicity 3)
3 F 0.0000 0.0000 0.4172 (multiplicity 6)

Output
**Theoretical density**: 9.11 g cm⁻³

***

Stability verdict: run ii, ahead by 0.178 eV/atom

***

Run i
Density functional theory data (GGA-PBE) for a relaxed structure of SbPtF2.

Cell: 3.866 3.866 16.448 Å, 90.00 90.00 90.00°
Space group I-42d (No. 122)
Asymmetric unit:
1 Sb 0.000 0.000 0.000 (multiplicity 4)
2 Pt 0.000 0.000 0.500 (multiplicity 4)
3 F 0.230 0.250 0.125 (multiplicity 8)

Output
**Theoretical density**: 9.59 g cm⁻³

***

Run ii
Density functional theory data (GGA-PBE) for a relaxed structure of SbPtF2.

Cell: 6.189 6.189 6.189 Å, 90.00 90.00 90.00°
Space group Fm-3m (No. 225)
Asymmetric unit:
1 Sb 0.000 0.000 0.000 (multiplicity 4)
2 Pt 0.000 0.000 0.500 (multiplicity 4)
3 F 0.250 0.250 0.250 (multiplicity 8)

Output
**Theoretical density**: 9.94 g cm⁻³

***

Stability verdict: run i, ahead by 0.422 eV/atom

***

Run i
Density functional theory data (GGA-PBE) for a relaxed structure of Sc2PtF.

Cell: 6.511 6.511 6.511 Å, 90.00 90.00 90.00°
Space group Fm-3m (No. 225)
Asymmetric unit:
1 Sc 0.250 0.250 0.250 (multiplicity 8)
2 Pt 0.000 0.000 0.000 (multiplicity 4)
3 F 0.000 0.000 0.500 (multiplicity 4)

Output
**Theoretical density**: 7.32 g cm⁻³

***

Run ii
Density functional theory data (GGA-PBE) for a relaxed structure of Sc2PtF.

Cell: 6.344 6.344 7.053 Å, 90.00 90.00 90.00°
Space group I-42d (No. 122)
Asymmetric unit:
1 Sc 0.195 0.750 0.125 (multiplicity 8)
2 Pt 0.000 0.000 0.500 (multiplicity 4)
3 F 0.000 0.000 0.000 (multiplicity 4)

Output
**Theoretical density**: 7.11 g cm⁻³

***

Stability verdict: run ii, ahead by 0.266 eV/atom

***

Run i
Density functional theory data (GGA-PBE) for a relaxed structure of PtSeF3.

Cell: 4.315 4.315 4.315 Å, 90.00 90.00 90.00°
Space group Pm-3m (No. 221)
Asymmetric unit:
1 Pt 0.000 0.000 0.000 (multiplicity 1)
2 Se 0.500 0.500 0.500 (multiplicity 1)
3 F 0.000 0.000 0.500 (multiplicity 3)

Output
**Theoretical density**: 6.84 g cm⁻³

***

Run ii
Density functional theory data (GGA-PBE) for a relaxed structure of PtSeF3.

Cell: 4.176 4.176 4.176 Å, 90.00 90.00 90.00°
Space group Pm-3m (No. 221)
Asymmetric unit:
1 Pt 0.000 0.000 0.000 (multiplicity 1)
2 Se 0.500 0.500 0.500 (multiplicity 1)
3 F 0.000 0.500 0.500 (multiplicity 3)

Output
**Theoretical density**: 7.55 g cm⁻³

***

Stability verdict: run i, ahead by 0.411 eV/atom

***

Run i
Density functional theory data (GGA-PBE) for a relaxed structure of PtSeF2.

Cell: 8.569 8.569 4.735 Å, 90.00 90.00 90.00°
Space group I-42d (No. 122)
Asymmetric unit:
1 Pt 0.000 0.000 0.000 (multiplicity 4)
2 Se 0.000 0.000 0.500 (multiplicity 4)
3 F 0.003 0.250 0.125 (multiplicity 8)

Output
**Theoretical density**: 5.96 g cm⁻³

***

Run ii
Density functional theory data (GGA-PBE) for a relaxed structure of PtSeF2.

Cell: 2.7817 2.7817 28.9972 Å, 90.00 90.00 120.00°
Space group R-3m (No. 166, hexagonal axes)
Asymmetric unit:
1 Pt 0.0000 0.0000 0.0000 (multiplicity 3)
2 Se 0.0000 0.0000 0.5000 (multiplicity 3)
3 F 0.0000 0.0000 0.4361 (multiplicity 6)

Output
**Theoretical density**: 8.00 g cm⁻³

***

Run iii
Density functional theory data (GGA-PBE) for a relaxed structure of PtSeF2.

Cell: 6.002 6.002 6.002 Å, 90.00 90.00 90.00°
Space group Fm-3m (No. 225)
Asymmetric unit:
1 Pt 0.000 0.000 0.000 (multiplicity 4)
2 Se 0.000 0.000 0.500 (multiplicity 4)
3 F 0.250 0.250 0.250 (multiplicity 8)

Output
**Theoretical density**: 9.59 g cm⁻³

***

Run iv
Density functional theory data (GGA-PBE) for a relaxed structure of PtSeF2.

Cell: 2.7920 2.7920 26.4727 Å, 90.00 90.00 120.00°
Space group R-3m (No. 166, hexagonal axes)
Asymmetric unit:
1 Pt 0.0000 0.0000 0.0000 (multiplicity 3)
2 Se 0.0000 0.0000 0.5000 (multiplicity 3)
3 F 0.0000 0.0000 0.0737 (multiplicity 6)

Output
**Theoretical density**: 8.70 g cm⁻³

***

Stability verdict: run iv, ahead by 0.061 eV/atom

***

Run i
Density functional theory data (GGA-PBE) for a relaxed structure of SiPtF2.

Cell: 2.7599 2.7599 23.6548 Å, 90.00 90.00 120.00°
Space group R-3m (No. 166, hexagonal axes)
Asymmetric unit:
1 Si 0.0000 0.0000 0.0000 (multiplicity 3)
2 Pt 0.0000 0.0000 0.5000 (multiplicity 3)
3 F 0.0000 0.0000 0.4144 (multiplicity 6)

Output
**Theoretical density**: 8.34 g cm⁻³

***

Run ii
Density functional theory data (GGA-PBE) for a relaxed structure of SiPtF2.

Cell: 5.943 5.943 5.943 Å, 90.00 90.00 90.00°
Space group Fm-3m (No. 225)
Asymmetric unit:
1 Si 0.000 0.000 0.000 (multiplicity 4)
2 Pt 0.000 0.000 0.500 (multiplicity 4)
3 F 0.250 0.250 0.250 (multiplicity 8)

Output
**Theoretical density**: 8.27 g cm⁻³

***

Run iii
Density functional theory data (GGA-PBE) for a relaxed structure of SiPtF2.

Cell: 3.572 3.572 15.843 Å, 90.00 90.00 90.00°
Space group I-42d (No. 122)
Asymmetric unit:
1 Si 0.000 0.000 0.000 (multiplicity 4)
2 Pt 0.000 0.000 0.500 (multiplicity 4)
3 F 0.238 0.250 0.125 (multiplicity 8)

Output
**Theoretical density**: 8.58 g cm⁻³

***

Stability verdict: run iii, ahead by 0.011 eV/atom